# 1
First-principles (GGA-PBE) data for an optimized crystal structure of AlCdHg, as listed in Alexandria.

* ρ: 8.8 g cm⁻³
* space-group type: No. 107
* crystal system: tetragonal
* ΔH_f (0 K): 0.15 eV/atom

Cell lengths 6.8114, 6.8114, 6.8114 Å; angles 153.12, 153.12, 38.38 degrees
Element x y z (fractional)
Cd  0.3415  0.3415  0.0000
Al  0.9999  0.9999  0.0000
Hg  0.6586  0.6586  0.0000

=====

# 2
First-principles (GGA-PBE) data for an optimized crystal structure of AlCdHg2, as listed in Alexandria.

* ρ: 10.0 g cm⁻³
* space-group type: No. 160
* crystal system: trigonal
* ΔH_f (0 K): 0.11 eV/atom

Cell lengths 10.8908, 10.8908, 10.8908 Å; angles 16.43, 16.43, 16.43 degrees
Element x y z (fractional)
Hg  0.2433  0.2433  0.2433
Cd  0.7560  0.7560  0.7560
Hg  0.0015  0.0015  0.0015
Al  0.4993  0.4993  0.4993

=====

# 3
First-principles (GGA-PBE) data for an optimized crystal structure of AlCd2Hg, as listed in Alexandria.

* ρ: 8.6 g cm⁻³
* space-group type: No. 119
* crystal system: tetragonal
* ΔH_f (0 K): 0.12 eV/atom

Cell lengths 5.4647, 5.4647, 5.4647 Å; angles 132.46, 132.46, 69.51 degrees
Element x y z (fractional)
Al  0.7500  0.2500  0.5000
Cd  0.0000  0.0000  0.0000
Hg  0.5000  0.5000  0.0000
Cd  0.2500  0.7500  0.5000

=====

# 4
First-principles (GGA-PBE) data for an optimized crystal structure of AlCdHg2, as listed in Alexandria.

* ρ: 9.9 g cm⁻³
* space-group type: No. 25
* crystal system: orthorhombic
* ΔH_f (0 K): 0.13 eV/atom

Cell lengths 3.5403, 4.3860, 5.8280 Å; angles 90.00, 90.00, 90.00 degrees
Element x y z (fractional)
Cd  0.5000  0.5000  0.7668
Al  0.0000  0.0000  0.4789
Hg  0.5000  0.5000  0.2759
Hg  0.0000  0.0000  0.9784

=====

The lowest ΔH_f (0 K) belongs to which entry?
number 2